Density functional theory data (PBE) for crystalline TlGePt2Rh at its relaxed geometry.

extended XYZ file:
```
5
Lattice="4.709 0.000 0.000 0.000 4.709 0.000 0.000 0.000 4.627" Properties=species:S:1:pos:R:3 pbc="T T T"
Tl 0.000 0.000 0.000
Ge 2.355 2.355 2.314
Pt 0.000 2.355 2.314
Pt 2.355 0.000 2.314
Rh 2.355 2.355 0.000
```

Summary:
D(E_F)	7.426	states/eV per cell
DFT formation energy	0.36	eV per atom
space-group type	No. 123